This record from Alexandria describes a geometry-optimized RbMg2Sn6 structure. The functional is GGA-PBE.

Unit cell a=8.629 b=8.629 c=4.587 alpha=104.86 beta=104.86 gamma=60.52
Fractional positions:
Rb 0.000 0.000 0.000
Mg 0.391 0.391 0.894
Mg 0.609 0.609 0.106
Sn 0.020 0.380 0.701
Sn 0.329 0.671 0.500
Sn 0.380 0.020 0.701
Sn 0.620 0.980 0.299
Sn 0.671 0.329 0.500
Sn 0.980 0.620 0.299

Crystal system   monoclinic
ΔE_f   -1.4 kcal/mol of atoms
Size of the total moment   0.000 μB per atom